(1)
CoSeCl2: relaxed, GGA-PBE.

## Properties
SG: C2, No. 5
Energy above the lowest structure with this stoichiometry, eV/atom: 0.084
ρ, Mg/m³: 4.05
E_tot, eV/cell: -14.9
M_tot, Bohr magnetons per cell: 0.00
Raw formation energy, eV/f.u.: -0.65

Cell and atoms, written as POSCAR:
```
CoSeCl2
1.0
5.6863 -1.5616 0.4246
-1.5330 5.6942 0.4246
-1.7633 -1.7545 2.4980
Co Se Cl
1 1 2
direct
0.7229 0.2771 0.0000
0.5903 0.4097 0.5000
0.9422 0.0578 0.0000
0.2447 0.7553 0.5000
```

=====

(2)
PrEr12Tl6: relaxed, GGA-PBE.

## Properties
SG: R-3m, No. 166
ρ, Mg/m³: 9.04
E_tot, eV/cell: -73.8
M_tot, Bohr magnetons per cell: 0.01
DFT formation energy, eV per atom: -0.01

Cell and atoms, written as POSCAR:
```
PrEr12Tl6
1.0
8.8346 0.0576 0.0811
-2.1342 8.5731 0.0811
-2.1342 -2.7490 8.1208
Pr Er Tl
1 12 6
direct
0.0000 0.0000 0.0000
0.8711 0.1289 0.5000
0.8175 0.5520 0.5520
0.5520 0.5520 0.8175
0.4480 0.1825 0.4480
0.4480 0.4480 0.1825
0.1825 0.4480 0.4480
0.1289 0.5000 0.8711
0.5000 0.8711 0.1289
0.1289 0.8711 0.5000
0.8711 0.5000 0.1289
0.5000 0.1289 0.8711
0.5520 0.8175 0.5520
0.6917 0.2369 0.2369
0.2369 0.2369 0.6917
0.2369 0.6917 0.2369
0.7631 0.7631 0.3083
0.3083 0.7631 0.7631
0.7631 0.3083 0.7631
```

=====

(3)
Pa2GaSn: relaxed, GGA-PBE.

## Properties
SG: Fm-3m, No. 225
Energy above the lowest structure with this stoichiometry, eV/atom: 0.184
ρ, Mg/m³: 10.94
E_tot, eV/cell: -26.1
M_tot, Bohr magnetons per cell: 2.98
DFT formation energy, eV per atom: -0.02

Cell and atoms, written as POSCAR:
```
Pa2GaSn
1.0
-3.4685 1.8590 -3.3805
-5.0718 -0.3354 1.0386
-2.7019 4.2784 1.1442
Pa Sn Ga
2 1 1
direct
0.2500 0.2500 0.2500
0.7500 0.7500 0.7500
0.5000 0.5000 0.5000
0.0000 0.0000 0.0000
```

=====

(4)
Ba6In2P: relaxed, GGA-PBE.

## Properties
SG: P2_1/c, No. 14
ρ, Mg/m³: 4.24
E_tot, eV/cell: -52.5
M_tot, Bohr magnetons per cell: 0.00
DFT formation energy, eV per atom: -0.43

Cell and atoms, written as POSCAR:
```
Ba6In2P
1.0
7.9421 0.0118 0.0000
-1.8221 9.6524 0.0000
0.0000 0.0000 11.0902
Ba In P
12 4 2
direct
0.1467 0.8138 0.0445
0.1356 0.4311 0.2541
0.1743 0.0428 0.3680
0.3257 0.4572 0.8680
0.3644 0.0689 0.7541
0.3533 0.6862 0.5445
0.8533 0.1862 0.9555
0.8644 0.5689 0.7459
0.8257 0.9572 0.6320
0.6743 0.5428 0.1320
0.6356 0.9311 0.2459
0.6467 0.3138 0.4555
0.0902 0.3157 0.5875
0.4098 0.1843 0.0875
0.5902 0.8157 0.9125
0.9098 0.6843 0.4125
0.5000 0.0000 0.5000
0.0000 0.5000 0.0000
```

=====

(5)
Ho8Ga3Te3Se: relaxed, GGA-PBE.

## Properties
SG: R-3m, No. 166
ρ, Mg/m³: 7.85
E_tot, eV/cell: -72.5
M_tot, Bohr magnetons per cell: 0.00
Raw formation energy, eV/f.u.: -13.86

Cell and atoms, written as POSCAR:
```
Ho8Ga3Te3Se
1.0
-6.8725 4.5125 -0.9283
-0.3404 -8.2401 -0.6642
1.2430 3.4809 7.7178
Ho Ga Te Se
8 3 3 1
direct
0.2562 0.5123 0.2685
0.7438 0.4877 0.7315
0.7511 0.5021 0.2693
0.2489 0.4979 0.7307
0.7512 0.0183 0.2694
0.2488 0.9817 0.7306
0.2671 0.0183 0.2694
0.7329 0.9817 0.7306
0.5000 0.0000 0.5000
0.5000 0.5000 0.5000
0.0000 0.5000 0.5000
0.0000 0.0000 0.0000
0.0000 0.5000 0.0000
0.5000 0.5000 0.0000
0.0000 0.0000 0.5000
```

=====

(6)
Ac2MgSb3Rh6: relaxed, GGA-PBE.

## Properties
SG: P4/mmm, No. 123
ρ, Mg/m³: 8.41
E_tot, eV/cell: -71.3
M_tot, Bohr magnetons per cell: 0.00
Raw formation energy, eV/f.u.: -5.05

Cell and atoms, written as POSCAR:
```
Ac2MgSb3Rh6
1.0
4.2359 0.0000 0.0000
0.0000 4.2359 0.0000
0.0000 0.0000 16.0832
Ac Mg Sb Rh
2 1 3 6
direct
0.5000 0.5000 0.1823
0.5000 0.5000 0.8177
0.5000 0.5000 0.5000
0.0000 0.0000 0.3169
0.0000 0.0000 0.6831
0.0000 0.0000 0.0000
0.0000 0.5000 0.5951
0.5000 0.0000 0.4049
0.5000 0.0000 0.5951
0.0000 0.0000 0.1566
0.0000 0.5000 0.4049
0.0000 0.0000 0.8434
```

=====

(7)
Li2PmAsO4: relaxed, GGA-PBE.

## Properties
SG: I-42m, No. 121
ρ, Mg/m³: 5.00
E_tot, eV/cell: -48.9
M_tot, Bohr magnetons per cell: 0.00
Raw formation energy, eV/f.u.: -15.87

Cell and atoms, written as POSCAR:
```
Li2PmAsO4
1.0
5.4063 0.0012 0.0011
2.7042 4.3221 0.3060
2.7042 0.6592 4.2825
Li Pm As O
2 1 1 4
direct
0.2500 0.2500 0.2501
0.7500 0.7499 0.7500
0.0000 0.0000 0.0000
0.5000 0.5001 0.4999
0.4251 0.1142 0.5749
0.1144 0.8857 0.4250
0.8856 0.5750 0.1143
0.5749 0.4251 0.8858
```

=====

(8)
Ce4DyPu3Se8: relaxed, GGA-PBE.

## Properties
SG: C2/m, No. 12
ρ, Mg/m³: 8.50
E_tot, eV/cell: -126.5
M_tot, Bohr magnetons per cell: 2.63
Raw formation energy, eV/f.u.: -27.33

Cell and atoms, written as POSCAR:
```
Ce4DyPu3Se8
1.0
-6.7964 -4.8050 -0.2411
0.6615 -0.5361 -8.2755
6.4565 -2.1043 4.8185
Ce Dy Pu Se
4 1 3 8
direct
0.5000 0.0000 0.0000
0.5000 0.0000 0.5000
0.0000 0.0000 0.0000
0.0000 0.0000 0.5000
0.0000 0.5000 0.0000
0.5000 0.5000 0.0000
0.5000 0.5000 0.5000
0.0000 0.5000 0.5000
0.2462 0.7421 0.9959
0.2465 0.7430 0.4924
0.2517 0.2555 0.5039
0.7505 0.7429 0.9965
0.2495 0.2571 0.0035
0.7483 0.7445 0.4961
0.7535 0.2570 0.5076
0.7538 0.2579 0.0041
```

=====

What did the second record say?
PrEr12Tl6: relaxed, GGA-PBE.

## Properties
SG: R-3m, No. 166
ρ, Mg/m³: 9.04
E_tot, eV/cell: -73.8
M_tot, Bohr magnetons per cell: 0.01
DFT formation energy, eV per atom: -0.01

Cell and atoms, written as POSCAR:
```
PrEr12Tl6
1.0
8.8346 0.0576 0.0811
-2.1342 8.5731 0.0811
-2.1342 -2.7490 8.1208
Pr Er Tl
1 12 6
direct
0.0000 0.0000 0.0000
0.8711 0.1289 0.5000
0.8175 0.5520 0.5520
0.5520 0.5520 0.8175
0.4480 0.1825 0.4480
0.4480 0.4480 0.1825
0.1825 0.4480 0.4480
0.1289 0.5000 0.8711
0.5000 0.8711 0.1289
0.1289 0.8711 0.5000
0.8711 0.5000 0.1289
0.5000 0.1289 0.8711
0.5520 0.8175 0.5520
0.6917 0.2369 0.2369
0.2369 0.2369 0.6917
0.2369 0.6917 0.2369
0.7631 0.7631 0.3083
0.3083 0.7631 0.7631
0.7631 0.3083 0.7631
```

=====

Number 4 is which compound?
Ba6In2P